one:
This record from Alexandria via LeMat-Bulk describes crystalline NdDy12Y6 at its relaxed geometry. The functional is PBE.

a = 8.5459 Å, b = 8.5459 Å, c = 8.5459 Å
α = 88.80°, β = 88.80°, γ = 88.80°
Element x y z (fractional)
Dy (0.9891, 0.7882, 0.6458)
Dy (0.4569, 0.5649, 0.2274)
Dy (0.0109, 0.2118, 0.3542)
Dy (0.7726, 0.5431, 0.4351)
Dy (0.7882, 0.6458, 0.9891)
Dy (0.5431, 0.4351, 0.7726)
Dy (0.6458, 0.9891, 0.7882)
Dy (0.2274, 0.4569, 0.5649)
Dy (0.2118, 0.3542, 0.0109)
Dy (0.5649, 0.2274, 0.4569)
Dy (0.3542, 0.0109, 0.2118)
Dy (0.4351, 0.7726, 0.5431)
Nd (0.0000, 0.0000, 0.0000)
Y (0.9075, 0.3128, 0.7421)
Y (0.0925, 0.6872, 0.2579)
Y (0.2579, 0.0925, 0.6872)
Y (0.6872, 0.2579, 0.0925)
Y (0.3128, 0.7421, 0.9075)
Y (0.7421, 0.9075, 0.3128)

Output
Space group: R-3
Magnetic moment, μB/f.u.: 0.00
V, Å³/cell: 623.7

two:
This record from Alexandria via LeMat-Bulk describes crystalline NdDy12Y6 at its relaxed geometry. The functional is PBE.

a = 9.3904 Å, b = 9.3904 Å, c = 9.3904 Å
α = 108.58°, β = 108.58°, γ = 108.58°
Element x y z (fractional)
Dy (0.8919, 0.1081, 0.5000)
Dy (0.5000, 0.8919, 0.1081)
Dy (0.3701, 0.1605, 0.3701)
Dy (0.3701, 0.3701, 0.1605)
Dy (0.1605, 0.3701, 0.3701)
Dy (0.8395, 0.6299, 0.6299)
Dy (0.6299, 0.8395, 0.6299)
Dy (0.1081, 0.8919, 0.5000)
Dy (0.5000, 0.1081, 0.8919)
Dy (0.6299, 0.6299, 0.8395)
Dy (0.1081, 0.5000, 0.8919)
Dy (0.8919, 0.5000, 0.1081)
Y (0.3233, 0.7538, 0.3233)
Y (0.2462, 0.6767, 0.6767)
Y (0.7538, 0.3233, 0.3233)
Y (0.6767, 0.6767, 0.2462)
Y (0.6767, 0.2462, 0.6767)
Y (0.3233, 0.3233, 0.7538)
Nd (0.0000, 0.0000, 0.0000)

Output
Space group: R-3m
Magnetic moment, μB/f.u.: 0.00
V, Å³/cell: 657.6

Most stable one: one, least stable one: two.

one:
This record from Alexandria via LeMat-Bulk describes crystalline Nd2Dy5Y12 at its relaxed geometry. The functional is PBE.

a = 6.2367 Å, b = 9.4499 Å, c = 14.8553 Å
α = 120.07°, β = 99.94°, γ = 112.86°
Element x y z (fractional)
Dy (0.0517, 0.9692, 0.4327)
Dy (0.2412, 0.6286, 0.7568)
Dy (0.7449, 0.1378, 0.6128)
Dy (0.4285, 0.8362, 0.3282)
Dy (0.8511, 0.4705, 0.2879)
Nd (0.7352, 0.0513, 0.0322)
Nd (0.0296, 0.8274, 0.9570)
Y (0.7846, 0.9403, 0.7642)
Y (0.0561, 0.4257, 0.9085)
Y (0.9419, 0.3086, 0.4504)
Y (0.2958, 0.3959, 0.1232)
Y (0.2763, 0.1430, 0.2718)
Y (0.8737, 0.6253, 0.1134)
Y (0.5720, 0.8662, 0.1468)
Y (0.4976, 0.6287, 0.4480)
Y (0.4261, 0.3376, 0.7698)
Y (0.4326, 0.1375, 0.8984)
Y (0.1568, 0.8110, 0.5983)
Y (0.6041, 0.4591, 0.5996)

Output
Space group: P1
Magnetic moment, μB/f.u.: 0.00
V, Å³/cell: 619.7

two:
This record from Alexandria via LeMat-Bulk describes crystalline Nd2Dy5Y12 at its relaxed geometry. The functional is PBE.

a = 9.3411 Å, b = 12.4066 Å, c = 8.6021 Å
α = 132.63°, β = 90.00°, γ = 112.11°
Element x y z (fractional)
Y (0.6668, 0.6926, 0.9337)
Y (0.8192, 0.2555, 0.5996)
Y (0.4423, 0.8845, 0.2143)
Y (0.4363, 0.2555, 0.5996)
Y (0.5577, 0.1155, 0.7857)
Y (0.0872, 0.1744, 0.2961)
Y (0.9128, 0.8256, 0.7039)
Y (0.5637, 0.7445, 0.4004)
Y (0.3332, 0.3074, 0.0663)
Y (0.1808, 0.7445, 0.4004)
Y (0.9742, 0.3074, 0.0663)
Y (0.0258, 0.6926, 0.9337)
Dy (0.6996, 0.3991, 0.3859)
Dy (0.7689, 0.5378, 0.1128)
Dy (0.2311, 0.4622, 0.8872)
Dy (0.3004, 0.6009, 0.6141)
Dy (0.0000, 0.0000, 0.5000)
Nd (0.6795, 0.0000, 0.0000)
Nd (0.3205, 0.0000, 0.0000)

Output
Space group: C2/m
Magnetic moment, μB/f.u.: 0.00
V, Å³/cell: 630.1

Most stable one: one, least stable one: two.

one:
This record from Alexandria via LeMat-Bulk describes crystalline Nd4DyY at its relaxed geometry. The functional is PBE.

a = 7.5821 Å, b = 7.5821 Å, c = 7.5821 Å
α = 46.53°, β = 46.53°, γ = 46.53°
Last column: magnetic moment on the atom in μB.
Element x y z (fractional)
Nd (0.6670, 0.6670, 0.6670)  0.08
Nd (0.8353, 0.8353, 0.8353)  0.08
Nd (0.3330, 0.3330, 0.3330)  0.08
Nd (0.1647, 0.1647, 0.1647)  0.08
Dy (0.0000, 0.0000, 0.0000)  0.09
Y (0.5000, 0.5000, 0.5000)  0.07

Output
Space group: R-3m
Magnetic moment, μB/f.u.: 0.83
V, Å³/cell: 209.6

two:
This record from Alexandria via LeMat-Bulk describes crystalline Nd4DyY at its relaxed geometry. The functional is PBE.

a = 3.4946 Å, b = 8.3251 Å, c = 8.3251 Å
α = 90.14°, β = 90.00°, γ = 90.00°
Element x y z (fractional)
Nd (0.0000, 0.2387, 0.2387)
Nd (0.5000, 0.7404, 0.2596)
Nd (0.5000, 0.2596, 0.7404)
Nd (0.0000, 0.7613, 0.7613)
Y (0.0000, 0.5000, 0.5000)
Dy (0.5000, 0.0000, 0.0000)

Output
Space group: Cmmm
Magnetic moment, μB/f.u.: 0.00
V, Å³/cell: 242.2

Most stable one: one, least stable one: two.

one:
This record from Alexandria via LeMat-Bulk describes crystalline NdDy2Y6 at its relaxed geometry. The functional is PBE.

a = 5.0598 Å, b = 10.7306 Å, c = 10.7312 Å
α = 90.00°, β = 90.01°, γ = 90.00°
Element x y z (fractional)
Y (0.0003, 0.6668, 0.4998)
Y (0.9997, 0.3332, 0.5002)
Y (0.0003, 0.6675, 0.8327)
Y (0.4997, 0.1675, 0.6673)
Y (0.5003, 0.8325, 0.3327)
Y (0.9997, 0.3325, 0.1673)
Y (0.0000, 0.0004, 0.8333)
Y (0.0000, 0.9996, 0.1667)
Y (0.5000, 0.5004, 0.6667)
Y (0.5000, 0.4996, 0.3333)
Y (0.5003, 0.8332, 0.9998)
Y (0.4997, 0.1668, 0.0002)
Dy (0.0003, 0.6667, 0.1669)
Dy (0.4997, 0.1667, 0.3331)
Dy (0.9997, 0.3333, 0.8331)
Dy (0.5003, 0.8333, 0.6669)
Nd (0.5000, 0.5000, 0.0000)
Nd (0.0000, 0.0000, 0.5000)

Output
Space group: P4_2/mnm
Magnetic moment, μB/f.u.: 0.00
V, Å³/cell: 582.6

two:
This record from Alexandria via LeMat-Bulk describes crystalline NdDy2Y6 at its relaxed geometry. The functional is PBE.

a = 5.7412 Å, b = 11.8849 Å, c = 11.8849 Å
α = 48.13°, β = 103.92°, γ = 103.92°
Element x y z (fractional)
Y (0.9166, 0.9168, 0.4167)
Y (0.6381, 0.9978, 0.8335)
Y (0.3064, 0.6666, 0.5022)
Y (0.1936, 0.4978, 0.3334)
Y (0.6936, 0.3334, 0.4978)
Y (0.1381, 0.8335, 0.9978)
Y (0.4166, 0.4167, 0.9168)
Y (0.0834, 0.0832, 0.5833)
Y (0.3619, 0.0022, 0.1665)
Y (0.8619, 0.1665, 0.0022)
Y (0.5834, 0.5833, 0.0832)
Y (0.8064, 0.5022, 0.6666)
Dy (0.0341, 0.6677, 0.8322)
Dy (0.4659, 0.1678, 0.3323)
Dy (0.9659, 0.3323, 0.1678)
Dy (0.5341, 0.8322, 0.6677)
Nd (0.7500, 0.7499, 0.2501)
Nd (0.2500, 0.2501, 0.7499)

Output
Space group: C2/c
Magnetic moment, μB/f.u.: 0.00
V, Å³/cell: 582.6

Most stable one: one, least stable one: two.

one:
This record from Alexandria via LeMat-Bulk describes crystalline NdDy2Y4 at its relaxed geometry. The functional is PBE.

a = 6.0694 Å, b = 6.6456 Å, c = 11.7625 Å
α = 90.00°, β = 106.04°, γ = 90.00°
Element x y z (fractional)
Dy (0.6108, 0.7500, 0.0112)
Dy (0.2855, 0.2500, 0.4489)
Dy (0.3892, 0.2500, 0.9888)
Dy (0.7145, 0.7500, 0.5511)
Y (0.9765, 0.7500, 0.8359)
Y (0.6320, 0.0078, 0.2903)
Y (0.3680, 0.9922, 0.7097)
Y (0.1456, 0.7500, 0.4193)
Y (0.0235, 0.2500, 0.1641)
Y (0.3680, 0.5078, 0.7097)
Y (0.8544, 0.2500, 0.5807)
Y (0.6320, 0.4922, 0.2903)
Nd (0.8243, 0.2500, 0.8662)
Nd (0.1757, 0.7500, 0.1338)

Output
Space group: P2_1/m
Magnetic moment, μB/f.u.: 0.00
V, Å³/cell: 456.0

two:
This record from Alexandria via LeMat-Bulk describes crystalline NdDy2Y4 at its relaxed geometry. The functional is PBE.

a = 3.5579 Å, b = 9.4819 Å, c = 8.5590 Å
α = 121.56°, β = 78.01°, γ = 112.00°
Element x y z (fractional)
Y (0.4106, 0.7060, 0.5893)
Y (0.5894, 0.2940, 0.4107)
Y (0.8085, 0.1666, 0.7172)
Y (0.1915, 0.8334, 0.2828)
Nd (0.0000, 0.0000, 0.0000)
Dy (0.3603, 0.4301, 0.1401)
Dy (0.6397, 0.5699, 0.8599)

Output
Space group: C2/m
Magnetic moment, μB/f.u.: 0.00
V, Å³/cell: 228.1

Most stable one: two, least stable one: one.

one:
This record from Alexandria via LeMat-Bulk describes crystalline Nd5Dy2Y4 at its relaxed geometry. The functional is PBE.

a = 3.5504 Å, b = 9.1981 Å, c = 12.8238 Å
α = 111.02°, β = 97.96°, γ = 90.00°
Element x y z (fractional)
Nd (0.5000, 0.0000, 0.0000)
Nd (0.8529, 0.0533, 0.7057)
Nd (0.1471, 0.3476, 0.2943)
Nd (0.8529, 0.6524, 0.7057)
Nd (0.1471, 0.9467, 0.2943)
Y (0.5976, 0.5976, 0.1953)
Y (0.4024, 0.4024, 0.8047)
Y (0.0000, 0.6881, 0.0000)
Y (0.0000, 0.3119, 0.0000)
Dy (0.2689, 0.2689, 0.5379)
Dy (0.7311, 0.7311, 0.4621)

Output
Space group: Immm
Magnetic moment, μB/f.u.: 0.00
V, Å³/cell: 386.6

two:
This record from Alexandria via LeMat-Bulk describes crystalline Nd5Dy2Y4 at its relaxed geometry. The functional is PBE.

a = 3.6162 Å, b = 8.8514 Å, c = 12.0170 Å
α = 104.18°, β = 98.65°, γ = 90.00°
Element x y z (fractional)
Y (0.6812, 0.4547, 0.3624)
Y (0.3188, 0.5453, 0.6376)
Y (0.9552, 0.6341, 0.9104)
Y (0.0448, 0.3659, 0.0896)
Nd (0.8643, 0.9094, 0.7286)
Nd (0.1357, 0.0906, 0.2714)
Nd (0.2265, 0.8151, 0.4529)
Nd (0.5000, 0.0000, 0.0000)
Nd (0.7735, 0.1849, 0.5471)
Dy (0.5903, 0.7232, 0.1805)
Dy (0.4097, 0.2768, 0.8195)

Output
Space group: C2/m
Magnetic moment, μB/f.u.: 0.00
V, Å³/cell: 368.4

Most stable one: two, least stable one: one.